Record 1
Material: SiCI2O
Method: DFT, PBE
State: relaxed

Cell: 5.530 5.530 3.449 Å, 90.00 90.00 90.00°
Space group P4/mmm (No. 123)
Inequivalent atoms, fractional coordinates:
Si  0.000  0.000  0.000 x1
C  0.500  0.500  0.500 x1
I  0.000  0.500  0.000 x2
O  0.000  0.000  0.500 x1

Results
spin magnetization = 0.282 μB per atom
final energy = -3.6094 eV/atom
formation energy (no corrections) = 0.9317 eV per atom
density = 4.88 g/cm3

---

Record 2
Material: NdThZnRh
Method: DFT, PBE
State: relaxed

Cell: 7.224 7.224 7.224 Å, 90.00 90.00 90.00°
Space group F-43m (No. 216)
Inequivalent atoms, fractional coordinates:
Nd  0.000  0.000  0.000 x4
Th  0.000  0.000  0.500 x4
Zn  0.250  0.250  0.250 x4
Rh  0.250  0.250  0.750 x4

Results
energy of formation from the pure elements = -0.4256 eV/atom
spin magnetization = 0.000 μB per atom
final energy = -5.6289 eV/atom
density = 9.59 g/cm3

---

Record 3
Material: UMn6Fe6
Method: DFT, PBE
State: relaxed

Cell: 4.657 8.214 8.245 Å, 90.00 90.00 90.00°
Space group Immm (No. 71)
Inequivalent atoms, fractional coordinates:
U  0.000  0.000  0.000 x2
Mn  0.000  0.000  0.357 x4
Mn  0.000  0.282  0.500 x4
Mn  0.000  0.356  0.000 x4
Fe  0.000  0.500  0.272 x4
Fe  0.250  0.250  0.250 x8

Results
energy of formation from the pure elements = 0.0442 eV/atom
spin magnetization = 0.076 μB per atom
final energy = -8.9621 eV/atom
density = 9.51 g/cm3

---

Record 4
Material: Sr2AcP
Method: DFT, PBE
State: relaxed

Cell: 4.2355 4.2355 34.5016 Å, 90.00 90.00 120.00°
Space group R-3m (No. 166, hexagonal axes)
Inequivalent atoms, fractional coordinates:
Sr  0.0000  0.0000  0.1191 x6
Ac  0.0000  0.0000  0.0000 x3
P  0.0000  0.0000  0.5000 x3

Results
energy of formation from the pure elements = -0.4144 eV/atom
spin magnetization = 0.000 μB per atom
final energy = -3.6349 eV/atom
density = 4.03 g/cm3

---

Record 5
Material: CaPt3
Method: DFT, PBE
State: relaxed

Cell: 2.915 9.552 4.977 Å, 90.00 90.00 90.00°
Space group Imm2 (No. 44)
Inequivalent atoms, fractional coordinates:
Ca  0.000  0.000  0.000 x2
Pt  0.000  0.243  0.662 x4
Pt  0.000  0.500  0.990 x2

Results
energy of formation from the pure elements = -0.4647 eV/atom
spin magnetization = 0.000 μB per atom
final energy = -5.4957 eV/atom
density = 14.98 g/cm3

---

Record 6
Material: FeP2Pd
Method: DFT, PBE
State: relaxed

Cell: 5.205 5.205 10.199 Å, 90.00 90.00 90.00°
Space group I-42d (No. 122)
Inequivalent atoms, fractional coordinates:
Fe  0.000  0.000  0.000 x4
P  0.213  0.250  0.125 x8
Pd  0.000  0.000  0.500 x4

Results
energy of formation from the pure elements = -0.1263 eV/atom
spin magnetization = 0.000 μB per atom
final energy = -6.2451 eV/atom
density = 5.39 g/cm3

---

Record 7
Material: Sm4In2Sn
Method: DFT, PBE
State: relaxed

Cell: 13.424 9.478 9.478 Å, 90.00 134.84 90.00°
Space group C2 (No. 5)
Inequivalent atoms, fractional coordinates:
Sm  0.075  0.000  0.252 x4
Sm  0.075  0.645  0.397 x4
Sm  0.175  0.250  0.748 x4
Sm  0.175  0.395  0.102 x4
In  0.000  0.701  0.000 x2
In  0.000  0.944  0.500 x2
In  0.250  0.072  0.121 x4
Sn  0.125  0.322  0.375 x4

Results
energy of formation from the pure elements = -0.4620 eV/atom
spin magnetization = 0.000 μB per atom
final energy = -4.5129 eV/atom
density = 7.38 g/cm3

---

Record 8
Material: LiSnS2
Method: DFT, PBE
State: relaxed

Cell: 3.9738 3.9738 22.5109 Å, 90.00 90.00 120.00°
Space group R-3m (No. 166, hexagonal axes)
Inequivalent atoms, fractional coordinates:
Li  0.0000  0.0000  0.0000 x3
Sn  0.0000  0.0000  0.5000 x3
S  0.0000  0.0000  0.1012 x6

Results
spin magnetization = 0.000 μB per atom
final energy = -4.0878 eV/atom
formation energy (no corrections) = -0.5449 eV per atom
density = 3.07 g/cm3

---

Record 9
Material: Ac2TlP
Method: DFT, PBE
State: relaxed

Cell: 3.794 3.794 8.519 Å, 90.00 90.00 90.00°
Space group P4/mmm (No. 123)
Inequivalent atoms, fractional coordinates:
Ac  0.000  0.000  0.211 x2
Tl  0.500  0.500  0.500 x1
P  0.500  0.500  0.000 x1

Results
energy of formation from the pure elements = -0.7115 eV/atom
spin magnetization = 0.000 μB per atom
final energy = -4.7097 eV/atom
density = 9.34 g/cm3

---

Record 10
Material: AlInRh2
Method: DFT, PBE
State: relaxed

Cell: 6.882 6.882 5.788 Å, 90.00 90.00 90.00°
Space group I-42d (No. 122)
Inequivalent atoms, fractional coordinates:
Al  0.000  0.000  0.000 x4
In  0.000  0.000  0.500 x4
Rh  0.214  0.250  0.125 x8

Results
energy of formation from the pure elements = -0.2177 eV/atom
spin magnetization = 0.000 μB per atom
final energy = -5.5137 eV/atom
density = 8.42 g/cm3

---

Record 11
Material: Mg3ZrN
Method: DFT, PBE
State: relaxed

Cell: 5.619 5.619 5.619 Å, 90.00 90.00 90.00°
Space group Pm-3m (No. 221)
Inequivalent atoms, fractional coordinates:
Mg  0.000  0.000  0.500 x3
Zr  0.000  0.000  0.000 x1
N  0.500  0.500  0.500 x1

Results
spin magnetization = 0.170 μB per atom
final energy = -2.0449 eV/atom
formation energy (no corrections) = 2.2866 eV per atom
density = 1.67 g/cm3

---

Record 12
Material: PmDy2Y2Mg2
Method: DFT, PBE
State: relaxed

Cell: 5.4865 5.4865 24.0928 Å, 90.00 90.00 120.00°
Space group R-3m (No. 166, hexagonal axes)
Inequivalent atoms, fractional coordinates:
Pm  0.0000  0.0000  0.0000 x3
Dy  0.0000  0.0000  0.4275 x6
Y  0.0000  0.0000  0.1556 x6
Mg  0.0000  0.0000  0.2891 x6

Results
energy of formation from the pure elements = -0.0266 eV/atom
spin magnetization = 0.000 μB per atom
final energy = -4.3227 eV/atom
density = 5.52 g/cm3

---

Record 13
Material: Li6Al2Sn
Method: DFT, PBE
State: relaxed

Cell: 7.9392 7.9392 2.8132 Å, 90.00 90.00 120.00°
Space group P6/mmm (No. 191)
Inequivalent atoms, fractional coordinates:
Li  0.0000  0.3368  0.0000 x6
Al  0.3333  0.6667  0.5000 x2
Sn  0.0000  0.0000  0.5000 x1

Results
energy of formation from the pure elements = -0.2015 eV/atom
spin magnetization = 0.000 μB per atom
final energy = -2.7538 eV/atom
density = 2.32 g/cm3

---

Record 14
Material: BaAcPmIn
Method: DFT, PBE
State: relaxed

Cell: 8.437 8.437 8.437 Å, 90.00 90.00 90.00°
Space group F-43m (No. 216)
Inequivalent atoms, fractional coordinates:
Ba  0.000  0.000  0.000 x4
Ac  0.250  0.250  0.750 x4
Pm  0.000  0.000  0.500 x4
In  0.250  0.250  0.250 x4

Results
energy of formation from the pure elements = 0.0278 eV/atom
spin magnetization = 0.000 μB per atom
final energy = -3.3522 eV/atom
density = 6.90 g/cm3

---

Record 15
Material: CaTe2As
Method: DFT, PBE
State: relaxed

Cell: 4.410 4.410 6.313 Å, 90.00 90.00 90.00°
Space group P4mm (No. 99)
Inequivalent atoms, fractional coordinates:
Ca  0.000  0.000  0.000 x1
Te  0.000  0.000  0.501 x1
Te  0.500  0.500  0.966 x1
As  0.500  0.500  0.537 x1

Results
spin magnetization = 0.000 μB per atom
final energy = -3.9132 eV/atom
formation energy (no corrections) = -0.6796 eV per atom
density = 5.01 g/cm3

---

Record 16
Material: Li2La2TmGa2
Method: DFT, PBE
State: relaxed

Cell: 4.6314 4.6314 26.1129 Å, 90.00 90.00 120.00°
Space group R-3m (No. 166, hexagonal axes)
Inequivalent atoms, fractional coordinates:
Li  0.0000  0.0000  0.1084 x6
La  0.0000  0.0000  0.3666 x6
Tm  0.0000  0.0000  0.5000 x3
Ga  0.0000  0.0000  0.2311 x6

Results
energy of formation from the pure elements = -0.3097 eV/atom
spin magnetization = 0.000 μB per atom
final energy = -3.7680 eV/atom
density = 6.16 g/cm3

---

Record 17
Material: Ga2FeNi3
Method: DFT, PBE
State: relaxed

Cell: 4.0827 4.0827 5.0226 Å, 90.00 90.00 120.00°
Space group P-3m1 (No. 164)
Inequivalent atoms, fractional coordinates:
Ga  0.3333  0.6667  0.1824 x2
Fe  0.0000  0.0000  0.5000 x1
Ni  0.0000  0.0000  0.0000 x1
Ni  0.3333  0.6667  0.6732 x2

Results
energy of formation from the pure elements = -0.2619 eV/atom
spin magnetization = 0.536 μB per atom
final energy = -5.5720 eV/atom
density = 8.51 g/cm3

---

Record 18
Material: Rb2ZnTc
Method: DFT, PBE
State: relaxed

Cell: 13.580 13.580 5.007 Å, 90.00 90.00 90.00°
Space group I-42d (No. 122)
Inequivalent atoms, fractional coordinates:
Rb  0.001  0.250  0.125 x8
Zn  0.000  0.000  0.500 x4
Tc  0.000  0.000  0.000 x4

Results
energy of formation from the pure elements = 1.0835 eV/atom
spin magnetization = 0.750 μB per atom
final energy = -2.3103 eV/atom
density = 2.41 g/cm3

---

Record 19
Material: Mg2TaPt
Method: DFT, PBE
State: relaxed

Cell: 2.864 4.415 5.835 Å, 90.00 104.11 90.00°
Space group Pm (No. 6)
Inequivalent atoms, fractional coordinates:
Mg  0.000  0.000  0.000 x1
Mg  0.385  0.500  0.774 x1
Ta  0.731  0.000  0.472 x1
Pt  0.134  0.500  0.284 x1

Results
energy of formation from the pure elements = -0.2050 eV/atom
spin magnetization = 0.000 μB per atom
final energy = -5.4756 eV/atom
density = 9.85 g/cm3

---

Record 20
Material: RbCu2SbCl6
Method: DFT, PBE
State: relaxed

Cell: 7.011 7.017 8.340 Å, 65.13 89.94 60.07°
Space group P1 (No. 1)
Inequivalent atoms, fractional coordinates:
Rb  0.000  0.000  0.000 x1
Cu  0.232  0.534  0.698 x1
Cu  0.767  0.466  0.301 x1
Sb  0.499  0.000  0.500 x1
Cl  0.098  0.436  0.286 x1
Cl  0.277  0.819  0.714 x1
Cl  0.467  0.813  0.285 x1
Cl  0.533  0.187  0.716 x1
Cl  0.722  0.181  0.286 x1
Cl  0.901  0.564  0.714 x1

Results
spin magnetization = 0.000 μB per atom
final energy = -3.3496 eV/atom
formation energy (no corrections) = -0.9134 eV per atom
density = 2.92 g/cm3

---

Record 21
Material: PdSe2I
Method: DFT, PBE
State: relaxed

Cell: 4.118 4.118 5.572 Å, 90.00 90.00 90.00°
Space group P4/mmm (No. 123)
Inequivalent atoms, fractional coordinates:
Pd  0.000  0.000  0.000 x1
Se  0.000  0.000  0.500 x1
Se  0.500  0.500  0.000 x1
I  0.500  0.500  0.500 x1

Results
spin magnetization = 0.000 μB per atom
final energy = -3.1534 eV/atom
formation energy (no corrections) = 0.2747 eV per atom
density = 6.88 g/cm3

---

Record 22
Material: KLiF3
Method: DFT, PBE
State: relaxed

Cell: 3.827 6.076 6.564 Å, 76.66 83.70 76.98°
Space group P-1 (No. 2)
Inequivalent atoms, fractional coordinates:
K  0.225  0.123  0.240 x2
Li  0.442  0.406  0.688 x2
F  0.122  0.209  0.821 x2
F  0.313  0.589  0.053 x2
F  0.361  0.718  0.549 x2

Results
spin magnetization = 0.000 μB per atom
final energy = -4.0020 eV/atom
formation energy (no corrections) = -2.2770 eV per atom
density = 2.37 g/cm3

---

Record 23
Material: PmHo4Ni4
Method: DFT, PBE
State: relaxed

Cell: 8.594 8.594 5.568 Å, 90.00 90.00 90.00°
Space group P4_2/n (No. 86, origin choice 2)
Inequivalent atoms, fractional coordinates:
Pm  0.250  0.250  0.250 x2
Ho  0.072  0.660  0.152 x8
Ni  0.031  0.613  0.640 x8

Results
energy of formation from the pure elements = -0.2622 eV/atom
spin magnetization = 0.000 μB per atom
final energy = -5.3941 eV/atom
density = 8.39 g/cm3

---

Record 24
Material: LiMnH2Se
Method: DFT, PBE
State: relaxed

Cell: 3.624 3.624 4.942 Å, 90.00 90.00 90.00°
Space group P4/mmm (No. 123)
Inequivalent atoms, fractional coordinates:
Li  0.000  0.000  0.000 x1
Mn  0.500  0.500  0.500 x1
H  0.000  0.500  0.500 x2
Se  0.500  0.500  0.000 x1

Results
spin magnetization = 0.782 μB per atom
final energy = -4.5016 eV/atom
density = 3.66 g/cm3

---

Record 25
Material: TiNbF2
Method: DFT, PBE
State: relaxed

Cell: 2.7911 2.7911 22.9982 Å, 90.00 90.00 120.00°
Space group R-3m (No. 166, hexagonal axes)
Inequivalent atoms, fractional coordinates:
Ti  0.0000  0.0000  0.0000 x3
Nb  0.0000  0.0000  0.5000 x3
F  0.0000  0.0000  0.3988 x6

Results
spin magnetization = 0.000 μB per atom
final energy = -7.0119 eV/atom
formation energy (no corrections) = -1.5851 eV per atom
density = 5.74 g/cm3